(1)
Here is a geometry-optimized SrCo2Si2 structure from Alexandria. Energies are from PBE.

Structure (POSCAR):
```
SrCo2Si2
1.0
3.940 0.000 0.000
0.000 3.940 0.000
-1.970 -1.970 5.379
Si Co Sr
2 2 1
direct
0.355 0.355 0.709
0.645 0.645 0.291
0.250 0.750 0.500
0.750 0.250 0.500
0.000 0.000 0.000
```

Properties
calculated total energy: -29.38 eV for the cell shown
SG: I4/mmm (139)
D(E_F): 0.423 states/eV/atom

---

(2)
Here is a geometry-optimized HgP2Os structure from Alexandria. Energies are from PBE.

Structure (POSCAR):
```
HgP2Os
1.0
-2.800 0.697 0.185
1.195 -0.678 -2.544
-2.394 -10.029 1.548
Hg P Os
1 2 1
direct
0.500 0.500 0.250
0.000 0.000 0.937
0.000 0.000 0.563
0.500 0.500 0.750
```

Properties
calculated total energy: -20.75 eV for the cell shown
SG: Cmmm (65)
energy relative to the elements: 0.401 eV/atom
D(E_F): 0.526 states/eV/atom

---

(3)
Here is a geometry-optimized AlPC structure from Alexandria. Energies are from PBE.

Structure (POSCAR):
```
AlPC
1.0
5.979 0.000 0.000
0.000 6.329 0.000
-0.391 0.000 5.222
C P Al
4 4 4
direct
0.887 0.764 0.506
0.113 0.764 0.494
0.113 0.264 0.994
0.887 0.264 0.006
0.307 0.304 0.277
0.307 0.804 0.777
0.693 0.804 0.223
0.693 0.304 0.723
0.310 0.686 0.221
0.690 0.186 0.279
0.690 0.686 0.779
0.310 0.186 0.721
```

Properties
calculated total energy: -71.87 eV for the cell shown
SG: C2 (5)
energy relative to the elements: 0.136 eV/atom
E above lowest polymorph: 0.151 eV per atom

---

> Which formula does entry 3 have?

AlPC